[1]
Entry from the Alexandria database: Tb2ScAl2 after structural relaxation (PBE-GGA).

Values from the calculation:
E_form = -0.312 eV/atom
electronic total energy = -4.93 eV per atom
total magnetic moment = 0.00 μB/f.u.

```
data_Tb2ScAl2
_chemical_formula_sum 'Tb4 Sc2 Al4'
_cell_length_a 4.615
_cell_length_b 6.319
_cell_length_c 8.622
_cell_angle_alpha 90.00
_cell_angle_beta 90.00
_cell_angle_gamma 90.00
_symmetry_space_group_name_H-M 'I m m m'
_symmetry_Int_Tables_number 71
_symmetry_space_group_name_Hall '-I 2 2'
loop_
_atom_site_label
_atom_site_type_symbol
_atom_site_fract_x
_atom_site_fract_y
_atom_site_fract_z
Tb1 Tb 0.000 0.000 0.198
Sc1 Sc 0.000 0.500 0.000
Al1 Al 0.000 0.289 0.500
```



[2]
Entry from the Alexandria database: Tb3Sc7Al2 after structural relaxation (PBE-GGA).

Values from the calculation:
E_form = 0.059 eV/atom
electronic total energy = -5.42 eV per atom
total magnetic moment = 4.37 μB/f.u.

```
data_Tb3Sc7Al2
_chemical_formula_sum 'Tb9 Sc21 Al6'
_cell_length_a 6.1539
_cell_length_b 6.1539
_cell_length_c 29.4296
_cell_angle_alpha 90.00
_cell_angle_beta 90.00
_cell_angle_gamma 120.00
_symmetry_space_group_name_H-M 'R -3 m'
_symmetry_Int_Tables_number 166
_symmetry_space_group_name_Hall '-R 3 2"'
loop_
_atom_site_label
_atom_site_type_symbol
_atom_site_fract_x
_atom_site_fract_y
_atom_site_fract_z
Tb1 Tb 0.0000 0.0000 0.0000
Tb2 Tb 0.0000 0.0000 0.1441
Sc1 Sc 0.0000 0.0000 0.5000
Sc2 Sc 0.0006 0.5003 0.0769
Al1 Al 0.0000 0.0000 0.3333
```



[3]
Entry from the Alexandria database: Tb7ScAl4 after structural relaxation (PBE-GGA).

Values from the calculation:
E_form = -0.066 eV/atom
electronic total energy = -4.54 eV per atom
total magnetic moment = 0.00 μB/f.u.

```
data_Tb7ScAl4
_chemical_formula_sum 'Tb14 Sc2 Al8'
_cell_length_a 13.961
_cell_length_b 5.414
_cell_length_c 10.311
_cell_angle_alpha 90.00
_cell_angle_beta 124.32
_cell_angle_gamma 90.00
_symmetry_space_group_name_H-M 'C 1 2/m 1'
_symmetry_Int_Tables_number 12
loop_
_symmetry_equiv_pos_as_xyz
'x,y,z'
'-x,-y,-z'
'-x,y,-z'
'x,-y,z'
'x+1/2,y+1/2,z'
'-x+1/2,-y+1/2,-z'
'-x+1/2,y+1/2,-z'
'x+1/2,-y+1/2,z'
loop_
_atom_site_label
_atom_site_type_symbol
_atom_site_fract_x
_atom_site_fract_y
_atom_site_fract_z
Tb1 Tb 0.000 0.000 0.000
Tb2 Tb 0.066 0.500 0.391
Tb3 Tb 0.208 0.500 0.880
Tb4 Tb 0.212 0.000 0.659
Sc1 Sc 0.000 0.500 0.000
Al1 Al 0.053 0.000 0.758
Al2 Al 0.175 0.000 0.335
```



[4]
Entry from the Alexandria database: Tb3ScAl8 after structural relaxation (PBE-GGA).

Values from the calculation:
E_form = -0.498 eV/atom
electronic total energy = -4.68 eV per atom
energy relative to the lowest polymorph listed for this composition = 7.9 meV per atom
total magnetic moment = 0.00 μB/f.u.

```
data_Tb3ScAl8
_chemical_formula_sum 'Tb3 Sc1 Al8'
_cell_length_a 5.5174
_cell_length_b 5.5174
_cell_length_c 9.0587
_cell_angle_alpha 90.00
_cell_angle_beta 90.00
_cell_angle_gamma 120.00
_symmetry_space_group_name_H-M 'P 3 m 1'
_symmetry_Int_Tables_number 156
loop_
_symmetry_equiv_pos_as_xyz
'x,y,z'
'-y,x-y,z'
'-x+y,-x,z'
'-y,-x,z'
'-x+y,y,z'
'x,x-y,z'
loop_
_atom_site_label
_atom_site_type_symbol
_atom_site_fract_x
_atom_site_fract_y
_atom_site_fract_z
Tb1 Tb 0.0000 0.0000 0.0000
Tb2 Tb 0.0000 0.0000 0.3658
Tb3 Tb 0.3333 0.6667 0.8614
Sc1 Sc 0.3333 0.6667 0.4992
Al1 Al 0.0094 0.5047 0.1840
Al2 Al 0.3245 0.1622 0.6772
Al3 Al 0.6667 0.3333 0.4319
Al4 Al 0.6667 0.3333 0.9290
```



[5]
Entry from the Alexandria database: TbSc2Al after structural relaxation (PBE-GGA).

Values from the calculation:
E_form = -0.209 eV/atom
electronic total energy = -5.47 eV per atom
energy relative to the lowest polymorph listed for this composition = 7.4 meV per atom
total magnetic moment = 0.00 μB/f.u.

```
data_TbSc2Al
_chemical_formula_sum 'Tb1 Sc2 Al1'
_cell_length_a 3.334
_cell_length_b 3.334
_cell_length_c 8.542
_cell_angle_alpha 90.00
_cell_angle_beta 90.00
_cell_angle_gamma 90.00
_symmetry_space_group_name_H-M 'P 4/m m m'
_symmetry_Int_Tables_number 123
_symmetry_space_group_name_Hall '-P 4 2'
loop_
_atom_site_label
_atom_site_type_symbol
_atom_site_fract_x
_atom_site_fract_y
_atom_site_fract_z
Tb1 Tb 0.000 0.000 0.000
Sc1 Sc 0.500 0.500 0.289
Al1 Al 0.000 0.000 0.500
```



[6]
Entry from the Alexandria database: TbSc2Al after structural relaxation (PBE-GGA).

Values from the calculation:
E_form = -0.209 eV/atom
electronic total energy = -5.47 eV per atom
energy relative to the lowest polymorph listed for this composition = 7.4 meV per atom
total magnetic moment = 0.01 μB/f.u.

```
data_TbSc2Al
_chemical_formula_sum 'Tb1 Sc2 Al1'
_cell_length_a 4.535
_cell_length_b 4.535
_cell_length_c 4.571
_cell_angle_alpha 90.00
_cell_angle_beta 90.00
_cell_angle_gamma 90.00
_symmetry_space_group_name_H-M 'P 4/m m m'
_symmetry_Int_Tables_number 123
_symmetry_space_group_name_Hall '-P 4 2'
loop_
_atom_site_label
_atom_site_type_symbol
_atom_site_fract_x
_atom_site_fract_y
_atom_site_fract_z
Tb1 Tb 0.000 0.000 0.000
Sc1 Sc 0.000 0.500 0.500
Al1 Al 0.500 0.500 0.000
```



[7]
Entry from the Alexandria database: Tb5Sc2Al4 after structural relaxation (PBE-GGA).

Values from the calculation:
E_form = 0.158 eV/atom
electronic total energy = -4.46 eV per atom
total magnetic moment = 0.00 μB/f.u.

```
data_Tb5Sc2Al4
_chemical_formula_sum 'Tb10 Sc4 Al8'
_cell_length_a 5.124
_cell_length_b 10.216
_cell_length_c 12.205
_cell_angle_alpha 90.00
_cell_angle_beta 90.00
_cell_angle_gamma 90.00
_symmetry_space_group_name_H-M 'I m m m'
_symmetry_Int_Tables_number 71
_symmetry_space_group_name_Hall '-I 2 2'
loop_
_atom_site_label
_atom_site_type_symbol
_atom_site_fract_x
_atom_site_fract_y
_atom_site_fract_z
Tb1 Tb 0.000 0.000 0.000
Tb2 Tb 0.000 0.158 0.288
Sc1 Sc 0.000 0.500 0.325
Al1 Al 0.000 0.319 0.500
Al2 Al 0.000 0.500 0.106
```



[8]
Entry from the Alexandria database: TbSc2Al after structural relaxation (PBE-GGA).

Values from the calculation:
E_form = -0.064 eV/atom
electronic total energy = -5.32 eV per atom
energy relative to the lowest polymorph listed for this composition = 152.5 meV per atom
total magnetic moment = 1.19 μB/f.u.

```
data_TbSc2Al
_chemical_formula_sum 'Tb4 Sc8 Al4'
_cell_length_a 7.209
_cell_length_b 7.209
_cell_length_c 7.209
_cell_angle_alpha 90.00
_cell_angle_beta 90.00
_cell_angle_gamma 90.00
_symmetry_space_group_name_H-M 'F m -3 m'
_symmetry_Int_Tables_number 225
_symmetry_space_group_name_Hall '-F 4 2 3'
loop_
_atom_site_label
_atom_site_type_symbol
_atom_site_fract_x
_atom_site_fract_y
_atom_site_fract_z
Tb1 Tb 0.000 0.000 0.000
Sc1 Sc 0.250 0.250 0.250
Al1 Al 0.000 0.000 0.500
```



[9]
Entry from the Alexandria database: TbSc2Al after structural relaxation (PBE-GGA).

Values from the calculation:
E_form = -0.216 eV/atom
electronic total energy = -5.48 eV per atom
energy relative to the lowest polymorph listed for this composition = 0.0 meV per atom
total magnetic moment = 0.00 μB/f.u.

```
data_TbSc2Al
_chemical_formula_sum 'Tb2 Sc4 Al2'
_cell_length_a 3.521
_cell_length_b 5.159
_cell_length_c 10.656
_cell_angle_alpha 90.00
_cell_angle_beta 90.00
_cell_angle_gamma 90.00
_symmetry_space_group_name_H-M 'I m m m'
_symmetry_Int_Tables_number 71
_symmetry_space_group_name_Hall '-I 2 2'
loop_
_atom_site_label
_atom_site_type_symbol
_atom_site_fract_x
_atom_site_fract_y
_atom_site_fract_z
Tb1 Tb 0.000 0.000 0.000
Sc1 Sc 0.000 0.500 0.219
Al1 Al 0.000 0.000 0.500
```



[10]
Entry from the Alexandria database: Tb6ScAl2 after structural relaxation (PBE-GGA).

Values from the calculation:
E_form = -0.158 eV/atom
electronic total energy = -4.78 eV per atom
total magnetic moment = 0.00 μB/f.u.

```
data_Tb6ScAl2
_chemical_formula_sum 'Tb12 Sc2 Al4'
_cell_length_a 12.490
_cell_length_b 3.616
_cell_length_c 11.562
_cell_angle_alpha 90.00
_cell_angle_beta 107.70
_cell_angle_gamma 90.00
_symmetry_space_group_name_H-M 'C 1 2/m 1'
_symmetry_Int_Tables_number 12
loop_
_symmetry_equiv_pos_as_xyz
'x,y,z'
'-x,-y,-z'
'-x,y,-z'
'x,-y,z'
'x+1/2,y+1/2,z'
'-x+1/2,-y+1/2,-z'
'-x+1/2,y+1/2,-z'
'x+1/2,-y+1/2,z'
loop_
_atom_site_label
_atom_site_type_symbol
_atom_site_fract_x
_atom_site_fract_y
_atom_site_fract_z
Tb1 Tb 0.028 0.000 0.333
Tb2 Tb 0.177 0.500 0.879
Tb3 Tb 0.192 0.500 0.596
Sc1 Sc 0.000 0.000 0.000
Al1 Al 0.144 0.500 0.184
```



[11]
Entry from the Alexandria database: Tb3ScAl4 after structural relaxation (PBE-GGA).

Values from the calculation:
E_form = -0.407 eV/atom
electronic total energy = -4.81 eV per atom
total magnetic moment = 0.00 μB/f.u.

```
data_Tb3ScAl4
_chemical_formula_sum 'Tb3 Sc1 Al4'
_cell_length_a 3.540
_cell_length_b 3.540
_cell_length_c 14.368
_cell_angle_alpha 90.00
_cell_angle_beta 90.00
_cell_angle_gamma 90.00
_symmetry_space_group_name_H-M 'P 4/m m m'
_symmetry_Int_Tables_number 123
_symmetry_space_group_name_Hall '-P 4 2'
loop_
_atom_site_label
_atom_site_type_symbol
_atom_site_fract_x
_atom_site_fract_y
_atom_site_fract_z
Tb1 Tb 0.000 0.000 0.000
Tb2 Tb 0.000 0.000 0.260
Sc1 Sc 0.000 0.000 0.500
Al1 Al 0.500 0.500 0.130
Al2 Al 0.500 0.500 0.392
```



[12]
Entry from the Alexandria database: Tb2ScAl3 after structural relaxation (PBE-GGA).

Values from the calculation:
E_form = -0.403 eV/atom
electronic total energy = -4.87 eV per atom
energy relative to the lowest polymorph listed for this composition = 0.0 meV per atom
total magnetic moment = 0.00 μB/f.u.

```
data_Tb2ScAl3
_chemical_formula_sum 'Tb8 Sc4 Al12'
_cell_length_a 5.012
_cell_length_b 15.068
_cell_length_c 7.042
_cell_angle_alpha 90.00
_cell_angle_beta 90.00
_cell_angle_gamma 90.00
_symmetry_space_group_name_H-M 'C m m m'
_symmetry_Int_Tables_number 65
_symmetry_space_group_name_Hall '-C 2 2'
loop_
_atom_site_label
_atom_site_type_symbol
_atom_site_fract_x
_atom_site_fract_y
_atom_site_fract_z
Tb1 Tb 0.000 0.000 0.000
Tb2 Tb 0.000 0.000 0.500
Tb3 Tb 0.000 0.336 0.000
Sc1 Sc 0.000 0.334 0.500
Al1 Al 0.000 0.172 0.268
Al2 Al 0.000 0.500 0.264
```